# 1
Computed, not measured: a geometry-optimized Pm5ReN6 structure at the PBE level of DFT.

## Properties
Raw formation energy in eV/atom: -1.05
Total energy in eV per atom: -8.225

abc: 6.056 6.066 6.041
angles: 59.86 80.21 70.20
Each line ends with the local moment (μB).
Positions (direct):
Pm1 0.500 0.165 0.671  -0.01
Re1 0.000 0.000 0.000  0.61
N1 0.228 0.620 0.305  0.03
N2 0.755 0.765 0.000  0.02
Pm2 0.500 0.835 0.329  -0.01
N3 0.772 0.380 0.695  0.03
N4 0.245 0.235 0.000  0.02
N5 0.228 0.925 0.695  0.03
Pm3 0.500 0.500 0.000  -0.01
Pm4 0.000 0.666 0.668  0.00
Pm5 0.000 0.334 0.332  0.00
N6 0.772 0.075 0.305  0.03

---

# 2
Computed, not measured: a geometry-optimized SrCdNi structure at the PBE level of DFT.

## Properties
Total energy in eV per atom: -2.237
ΔE_f in meV per atom: 556

abc: 5.066 5.066 5.066
angles: 60.00 60.00 60.00
Each line ends with the local moment (μB).
Positions (direct):
Ni1 0.500 0.500 0.500  0.10
Sr1 0.750 0.750 0.750  -0.01
Cd1 0.000 0.000 0.000  0.00

---

# 3
Computed, not measured: a geometry-optimized LaMg2Tl structure at the PBE level of DFT.

## Properties
Total energy in eV per atom: -2.754
ΔE_f in meV per atom: -133

abc: 5.794 5.794 5.794
angles: 130.29 130.10 73.09
Positions (direct):
Mg1 0.500 0.500 0.000
La1 0.250 0.750 0.500
Tl1 0.750 0.250 0.500
Mg2 0.000 0.000 0.000

---

# 4
Computed, not measured: a geometry-optimized NaSmEr2S4 structure at the PBE level of DFT.

## Properties
Raw formation energy in eV/atom: -1.92
Total energy in eV per atom: -5.875

abc: 3.907 6.863 6.831
angles: 71.02 90.00 90.00
Positions (direct):
Er1 0.500 0.000 0.500
S1 0.000 0.761 0.744
Er2 0.000 0.000 0.000
Sm1 0.500 0.500 0.000
S2 0.000 0.239 0.256
Na1 0.000 0.500 0.500
S3 0.500 0.763 0.245
S4 0.500 0.237 0.755

---

# 5
Computed, not measured: a geometry-optimized Ag4BiF10 structure at the PBE level of DFT.

## Properties
Raw formation energy in eV/atom: -1.42
Total energy in eV per atom: -3.687

abc: 5.570 6.838 6.838
angles: 80.45 65.97 65.97
Each line ends with the local moment (μB).
Positions (direct):
Ag1 0.198 0.397 0.208  0.46
F1 0.934 0.931 0.701  0.10
Ag2 0.595 0.208 0.603  0.46
F2 0.750 0.500 0.500  0.22
F3 0.636 0.299 0.931  0.10
F4 0.566 0.069 0.299  0.10
Ag3 0.802 0.603 0.792  0.46
F5 0.066 0.069 0.299  0.10
Bi1 0.000 0.000 0.000  0.01
F6 0.364 0.701 0.069  0.10
F7 0.434 0.931 0.701  0.10
F8 0.135 0.299 0.931  0.10
Ag4 0.405 0.792 0.397  0.46
F9 0.865 0.701 0.069  0.10
F10 0.250 0.500 0.500  0.22

---

# 6
Computed, not measured: a geometry-optimized BeTcHg2 structure at the PBE level of DFT.

## Properties
Total energy in eV per atom: -2.779
ΔE_f in meV per atom: 895

abc: 3.896 3.896 10.070
angles: 78.85 78.85 90.00
Positions (direct):
Tc1 0.750 0.250 0.500
Be1 0.250 0.750 0.500
Hg1 0.128 0.625 0.250
Tc2 0.000 0.000 0.000
Be2 0.500 0.500 0.000
Hg2 0.375 0.378 0.750
Hg3 0.875 0.872 0.750
Hg4 0.622 0.125 0.250

---

# 7
Computed, not measured: a geometry-optimized K3Y2PbO6 structure at the PBE level of DFT.

## Properties
Raw formation energy in eV/atom: -2.19
Total energy in eV per atom: -6.334

abc: 6.111 6.111 6.608
angles: 98.86 98.86 119.99
Each line ends with the local moment (μB).
Positions (direct):
O1 0.936 0.586 0.807  0.08
Pb1 0.000 0.000 0.000  0.16
O2 0.285 0.285 0.807  0.08
Y1 0.667 0.333 0.000  0.01
O3 0.715 0.715 0.193  0.08
O4 0.414 0.064 0.193  0.08
O5 0.064 0.414 0.193  0.08
K1 0.837 0.163 0.500  0.00
Y2 0.333 0.667 0.000  0.01
K2 0.500 0.500 0.500  0.00
O6 0.586 0.936 0.807  0.08
K3 0.163 0.837 0.500  0.00

---

# 8
Computed, not measured: a geometry-optimized CdAg2Au structure at the PBE level of DFT.

## Properties
Total energy in eV per atom: -2.514
ΔE_f in meV per atom: -40

abc: 4.835 2.872 5.409
angles: 83.13 90.00 90.00
Positions (direct):
Cd1 0.500 0.750 0.750
Au1 0.500 0.250 0.250
Ag1 0.000 0.486 0.497
Ag2 0.000 0.014 0.003

---

# 9
Computed, not measured: a geometry-optimized SmU2Te6 structure at the PBE level of DFT.

## Properties
Raw formation energy in eV/atom: -0.46
Total energy in eV per atom: -5.586

abc: 5.742 5.742 11.721
angles: 104.18 104.18 90.00
Each line ends with the local moment (μB).
Positions (direct):
Te1 0.250 0.750 0.500  -0.10
Te2 0.750 0.250 0.500  -0.10
Te3 0.141 0.141 0.815  -0.15
Te4 0.675 0.675 0.815  -0.15
U1 0.809 0.809 0.618  2.12
U2 0.191 0.191 0.382  2.12
Sm1 0.500 0.500 0.000  -0.05
Te5 0.859 0.325 0.185  -0.15
Te6 0.325 0.859 0.185  -0.15

---

# 10
Computed, not measured: a geometry-optimized Y2ErSc structure at the PBE level of DFT.

## Properties
Total energy in eV per atom: -5.909
ΔE_f in meV per atom: 46

abc: 3.505 3.505 9.709
angles: 90.00 90.00 90.00
Positions (direct):
Y1 0.000 0.000 0.240
Er1 0.500 0.500 0.500
Y2 0.000 0.000 0.760
Sc1 0.500 0.500 0.000

---

# 11
Computed, not measured: a geometry-optimized TcMoAs structure at the PBE level of DFT.

## Properties
Total energy in eV per atom: -8.673
ΔE_f in meV per atom: -57

abc: 4.259 4.259 2.900
angles: 90.00 90.00 120.00
Positions (direct):
As1 0.000 0.000 0.834
Tc1 0.667 0.333 0.833
Mo1 0.333 0.667 0.333

---

# 12
Computed, not measured: a geometry-optimized Li2Pa2WN6 structure at the PBE level of DFT.

## Properties
Raw formation energy in eV/atom: -0.98
Total energy in eV per atom: -8.771

abc: 5.845 5.845 5.288
angles: 97.60 97.60 119.54
Positions (direct):
N1 0.041 0.358 0.699
N2 0.759 0.759 0.712
Pa1 0.336 0.664 0.500
N3 0.642 0.959 0.301
W1 0.000 0.000 0.500
N4 0.241 0.241 0.288
Pa2 0.664 0.336 0.500
N5 0.358 0.041 0.699
N6 0.959 0.642 0.301
Li1 0.869 0.131 0.000
Li2 0.131 0.869 0.000